A plane-wave DFT calculation with GGA-PBE was carried out for a geometry-optimized CeGa3NiIr structure.

Computed properties:
**Space-group type**: Cmcm (63)
**Crystal system**: orthorhombic

abc: 6.6485 6.6485 5.9333
angles: 90.00 90.00 125.33
Closest atoms and distances in Å follow each position.
Element x y z (fractional)
Ce 0.2292 0.7708 0.7500  1 Ni 2.48
Ce 0.7708 0.2292 0.2500  1 Ni 2.48
Ga 0.2135 0.2135 0.0000  2 Ni 2.40, 2 Ir 2.61, 1 Ga 2.61
Ga 0.2135 0.2135 0.5000  2 Ni 2.40, 2 Ir 2.61, 1 Ga 2.61
Ga 0.3519 0.6481 0.2500  1 Ir 2.46, 1 Ni 2.46
Ga 0.6481 0.3519 0.7500  1 Ir 2.46, 1 Ni 2.46
Ga 0.7865 0.7865 0.0000  2 Ni 2.40, 2 Ir 2.61, 1 Ga 2.61
Ga 0.7865 0.7865 0.5000  2 Ni 2.40, 2 Ir 2.61, 1 Ga 2.61
Ni 0.4395 0.5605 0.7500  5 Ga 2.40-2.46, 1 Ce 2.48
Ni 0.5605 0.4395 0.2500  5 Ga 2.40-2.46, 1 Ce 2.48
Ir 0.1440 0.8560 0.2500  5 Ga 2.46-2.61
Ir 0.8560 0.1440 0.7500  5 Ga 2.46-2.61

***

A plane-wave DFT calculation with GGA-PBE was carried out for a geometry-optimized Tl2RePd structure.

Computed properties:
**Space-group type**: I-42d (122)
**Crystal system**: tetragonal
**Relative energy among the computed polymorphs**: 251.2 meV per atom

abc: 10.0523 10.0523 10.0523
angles: 155.60 155.60 34.77
Closest atoms and distances in Å follow each position.
Element x y z (fractional)
Tl 0.1206 0.6250 0.9956  2 Re 2.82, 2 Pd 2.84, 4 Tl 2.98-3.03
Tl 0.3750 0.3706 0.4956  2 Re 2.82, 2 Pd 2.84, 4 Tl 2.98-3.03
Tl 0.6294 0.1250 0.0044  2 Re 2.82, 2 Pd 2.84, 4 Tl 2.98-3.03
Tl 0.8750 0.8794 0.5044  2 Re 2.82, 2 Pd 2.84, 4 Tl 2.98-3.03
Re 0.0000 0.0000 0.0000  4 Tl 2.82, 4 Pd 3.00
Re 0.7500 0.2500 0.5000  4 Tl 2.82, 4 Pd 3.00
Pd 0.2500 0.7500 0.5000  4 Tl 2.84, 4 Re 3.00
Pd 0.5000 0.5000 0.0000  4 Tl 2.84, 4 Re 3.00

***

| no. | M_tot (μB per cell) | E_form (eV per atom) |
| --- | --- | --- |
| 1 | 0.571 | -0.408 |
| 2 | 3.001 | 1.010 |